VASP calculation (PBE-GGA) on a relaxed structure of Zr2TaSb.

Cell: 9.513 9.513 9.513 Å, 20.15 20.15 20.15°
Positions (direct):
1 Sb 0.496 0.496 0.496
2 Zr 0.247 0.247 0.247
3 Zr 0.004 0.004 0.004
4 Ta 0.753 0.753 0.753

Output
Its space group is R3m. For the uncorrected formation energy, the calculation gives 0.0715 eV/atom.

VASP calculation (PBE-GGA) on a relaxed structure of Nd3Ag5H12.

Cell: 10.847 10.847 10.847 Å, 109.47 109.47 109.47°
Positions (direct):
1 H 0.214 0.679 0.085
2 H 0.371 0.965 0.786
3 H 0.594 0.629 0.415
4 H 0.585 0.714 0.679
5 H 0.179 0.085 0.714
6 H 0.085 0.179 0.214
7 H 0.714 0.129 0.035
8 H 0.321 0.786 0.415
9 H 0.965 0.594 0.179
10 H 0.129 0.415 0.094
11 H 0.035 0.629 0.714
12 H 0.786 0.465 0.371
13 H 0.714 0.585 0.179
14 H 0.821 0.906 0.035
15 H 0.679 0.214 0.585
16 H 0.594 0.965 0.679
17 H 0.094 0.179 0.465
18 H 0.821 0.915 0.286
19 H 0.906 0.085 0.871
20 H 0.406 0.371 0.585
21 H 0.965 0.371 0.286
22 H 0.406 0.035 0.321
23 H 0.629 0.594 0.915
24 H 0.786 0.321 0.915
25 H 0.585 0.871 0.406
26 H 0.035 0.406 0.821
27 H 0.535 0.214 0.129
28 H 0.415 0.129 0.594
29 H 0.085 0.906 0.371
30 H 0.415 0.286 0.321
31 H 0.871 0.286 0.465
32 H 0.679 0.465 0.594
33 H 0.465 0.786 0.871
34 H 0.321 0.535 0.406
35 H 0.465 0.679 0.094
36 H 0.915 0.094 0.629
37 H 0.214 0.535 0.629
38 H 0.915 0.821 0.786
39 H 0.371 0.406 0.085
40 H 0.179 0.094 0.965
41 H 0.906 0.821 0.535
42 H 0.286 0.871 0.965
43 H 0.629 0.035 0.214
44 H 0.094 0.915 0.129
45 H 0.535 0.321 0.906
46 H 0.871 0.585 0.906
47 H 0.129 0.714 0.535
48 H 0.286 0.415 0.821
49 Ag 0.000 0.500 0.000
50 Ag 0.625 0.875 0.250
51 Ag 0.500 0.000 0.500
52 Ag 0.125 0.375 0.250
53 Ag 0.000 0.000 0.500
54 Ag 0.250 0.375 0.625
55 Ag 0.375 0.125 0.750
56 Ag 0.500 0.000 0.000
57 Ag 0.000 0.000 0.000
58 Ag 0.625 0.750 0.875
59 Ag 0.500 0.500 0.000
60 Ag 0.375 0.250 0.125
61 Ag 0.250 0.875 0.125
62 Ag 0.875 0.625 0.750
63 Ag 0.000 0.500 0.500
64 Ag 0.500 0.500 0.500
65 Ag 0.750 0.625 0.375
66 Ag 0.750 0.125 0.875
67 Ag 0.125 0.750 0.375
68 Ag 0.875 0.250 0.625
69 Nd 0.125 0.250 0.875
70 Nd 0.375 0.750 0.625
71 Nd 0.625 0.250 0.375
72 Nd 0.875 0.750 0.125
73 Nd 0.250 0.625 0.875
74 Nd 0.875 0.125 0.250
75 Nd 0.625 0.375 0.750
76 Nd 0.750 0.875 0.625
77 Nd 0.375 0.625 0.250
78 Nd 0.125 0.875 0.750
79 Nd 0.750 0.375 0.125
80 Nd 0.250 0.125 0.375

Output
Its space group is Ia-3d.

VASP calculation (PBE-GGA) on a relaxed structure of Si5Hg3O12.

Cell: 10.475 10.475 10.475 Å, 109.47 109.47 109.47°
Positions (direct):
1 O 0.575 0.898 0.390
2 O 0.677 0.102 0.992
3 O 0.898 0.323 0.508
4 O 0.492 0.177 0.102
5 O 0.925 0.815 0.823
6 O 0.323 0.425 0.815
7 O 0.425 0.323 0.315
8 O 0.177 0.492 0.602
9 O 0.425 0.102 0.610
10 O 0.390 0.398 0.575
11 O 0.008 0.610 0.185
12 O 0.677 0.575 0.185
13 O 0.102 0.425 0.110
14 O 0.315 0.492 0.390
15 O 0.610 0.602 0.425
16 O 0.815 0.925 0.323
17 O 0.890 0.815 0.492
18 O 0.102 0.677 0.492
19 O 0.823 0.315 0.925
20 O 0.992 0.390 0.815
21 O 0.177 0.685 0.075
22 O 0.823 0.508 0.398
23 O 0.508 0.823 0.898
24 O 0.185 0.075 0.677
25 O 0.110 0.185 0.508
26 O 0.398 0.008 0.823
27 O 0.815 0.890 0.992
28 O 0.398 0.390 0.075
29 O 0.992 0.602 0.677
30 O 0.890 0.075 0.898
31 O 0.602 0.992 0.177
32 O 0.492 0.315 0.890
33 O 0.685 0.177 0.575
34 O 0.110 0.925 0.102
35 O 0.602 0.610 0.925
36 O 0.315 0.823 0.425
37 O 0.390 0.992 0.315
38 O 0.610 0.008 0.685
39 O 0.925 0.110 0.602
40 O 0.685 0.508 0.610
41 O 0.075 0.890 0.398
42 O 0.075 0.185 0.177
43 O 0.008 0.398 0.323
44 O 0.898 0.575 0.890
45 O 0.185 0.110 0.008
46 O 0.575 0.677 0.685
47 O 0.508 0.685 0.110
48 O 0.323 0.898 0.008
49 Hg 0.375 0.625 0.250
50 Hg 0.125 0.875 0.750
51 Hg 0.875 0.750 0.125
52 Hg 0.625 0.250 0.375
53 Hg 0.375 0.750 0.625
54 Hg 0.125 0.250 0.875
55 Hg 0.625 0.375 0.750
56 Hg 0.250 0.625 0.875
57 Hg 0.250 0.125 0.375
58 Hg 0.750 0.375 0.125
59 Hg 0.750 0.875 0.625
60 Hg 0.875 0.125 0.250
61 Si 0.500 0.500 0.000
62 Si 0.625 0.875 0.250
63 Si 0.750 0.125 0.875
64 Si 0.875 0.250 0.625
65 Si 0.125 0.375 0.250
66 Si 0.000 0.000 0.000
67 Si 0.500 0.000 0.500
68 Si 0.000 0.000 0.500
69 Si 0.875 0.625 0.750
70 Si 0.250 0.375 0.625
71 Si 0.250 0.875 0.125
72 Si 0.375 0.250 0.125
73 Si 0.375 0.125 0.750
74 Si 0.500 0.500 0.500
75 Si 0.750 0.625 0.375
76 Si 0.500 0.000 0.000
77 Si 0.625 0.750 0.875
78 Si 0.125 0.750 0.375
79 Si 0.000 0.500 0.000
80 Si 0.000 0.500 0.500

Output
Its space group is Ia-3d. For the uncorrected formation energy, the calculation gives -1.7152 eV/atom.

VASP calculation (PBE-GGA) on a relaxed structure of Pm2PrNdY2.

Cell: 3.437 6.694 18.242 Å, 90.00 90.00 90.00°
Positions (direct):
1 Pr 0.500 0.500 0.500
2 Pr 0.000 0.000 0.000
3 Y 0.000 0.279 0.150
4 Y 0.500 0.779 0.350
5 Y 0.000 0.721 0.850
6 Y 0.500 0.221 0.650
7 Pm 0.500 0.276 0.315
8 Pm 0.000 0.776 0.185
9 Pm 0.500 0.724 0.685
10 Pm 0.000 0.224 0.815
11 Nd 0.000 0.000 0.500
12 Nd 0.500 0.500 0.000

Output
The calculation puts the formation energy at 270 meV per atom. Its space group is Pnnm.

VASP calculation (PBE-GGA) on a relaxed structure of MgZn2SiPt.

Cell: 4.512 4.990 4.512 Å, 90.00 90.00 90.00°
Positions (direct):
1 Si 0.000 0.000 0.000
2 Mg 0.000 0.500 0.000
3 Pt 0.500 0.500 0.500
4 Zn 0.500 0.000 0.000
5 Zn 0.000 0.000 0.500

Output
Its space group is P4/mmm. For the uncorrected formation energy, the calculation gives 0.4295 eV/atom.

VASP calculation (PBE-GGA) on a relaxed structure of Pm12Ge6Pt.

Cell: 8.576 8.576 8.576 Å, 99.95 99.95 99.95°
Positions (direct):
1 Ge 0.129 0.619 0.308
2 Ge 0.692 0.871 0.381
3 Ge 0.871 0.381 0.692
4 Ge 0.308 0.129 0.619
5 Ge 0.619 0.308 0.129
6 Ge 0.381 0.692 0.871
7 Pm 0.422 0.563 0.186
8 Pm 0.578 0.437 0.814
9 Pm 0.048 0.677 0.931
10 Pm 0.931 0.048 0.677
11 Pm 0.186 0.422 0.563
12 Pm 0.952 0.323 0.069
13 Pm 0.323 0.069 0.952
14 Pm 0.069 0.952 0.323
15 Pm 0.814 0.578 0.437
16 Pm 0.437 0.814 0.578
17 Pm 0.677 0.931 0.048
18 Pm 0.563 0.186 0.422
19 Pt 0.000 0.000 0.000

Output
The calculation puts the formation energy at -568 meV per atom. Its space group is R-3.

Number 1: E -8.20 eV per atom. Number 2: E -3.59 eV per atom. Number 3: E -6.09 eV per atom. Number 4: E -5.06 eV per atom. Number 5: E -2.69 eV per atom. Number 6: E -5.34 eV per atom.